Arrangement one

# Co5Tc3

A relaxed structure of Co5Tc3 (PBE, Alexandria).

Its total moment is 2.09 μB/f.u.

It has space group Cmmm (No. 65), with a = 7.236 Å, b = 7.301 Å, c = 3.623 Å, α = 90.00°, β = 90.00° and γ = 90.00°. The inequivalent atoms are Co at (0.000, 0.000, 0.000), Co at (0.000, 0.247, 0.500), Co at (0.250, 0.250, 0.000), Tc at (0.000, 0.500, 0.000) and Tc at (0.242, 0.000, 0.500).

Arrangement two

# Co5Tc3

A relaxed structure of Co5Tc3 (PBE, Alexandria).

Its total moment is 4.47 μB/f.u.

It has space group Cmcm (No. 63), with a = 11.262 Å, b = 7.984 Å, c = 4.539 Å, α = 90.00°, β = 90.00° and γ = 90.00°. The inequivalent atoms are Co at (0.000, 0.166, 0.250), Co at (0.108, 0.094, 0.750), Co at (0.197, 0.500, 0.000), Tc at (0.000, 0.412, 0.750) and Tc at (0.197, 0.225, 0.250).

The winner here is arrangement one, beating the second structure by 0.233 eV/atom.

Arrangement one

# Co2Tc3

A relaxed structure of Co2Tc3 (PBE, Alexandria).

Its total moment is 0.00 μB/f.u.

It has space group Fdd2 (No. 43), with a = 9.018 Å, b = 12.686 Å, c = 4.556 Å, α = 90.00°, β = 90.00° and γ = 90.00°. The inequivalent atoms are Co at (0.028, 0.296, 0.000), Tc at (0.000, 0.000, 0.453) and Tc at (0.048, 0.395, 0.474).

Arrangement two

# Co2Tc3

A relaxed structure of Co2Tc3 (PBE, Alexandria).

Its total moment is 0.00 μB/f.u.

It has space group P-3m1 (No. 164), with a = 3.9968 Å, b = 3.9968 Å, c = 5.0925 Å, α = 90.00°, β = 90.00° and γ = 120.00°. The inequivalent atoms are Co at (0.3333, 0.6667, 0.3829), Tc at (0.0000, 0.0000, 0.5000) and Tc at (0.3333, 0.6667, 0.8892).

Arrangement three

# Co2Tc3

A relaxed structure of Co2Tc3 (PBE, Alexandria).

Its total moment is 0.00 μB/f.u.

It has space group R-3m (No. 166, hexagonal axes), with a = 2.6632 Å, b = 2.6632 Å, c = 31.9430 Å, α = 90.00°, β = 90.00° and γ = 120.00°. The inequivalent atoms are Co at (0.0000, 0.0000, 0.1017), Tc at (0.0000, 0.0000, 0.2986) and Tc at (0.0000, 0.0000, 0.5000).

The winner here is arrangement one, beating the second structure by 0.035 eV/atom.